# 1
Material: LiFeHRh2
Method: DFT, PBE
State: relaxed

- Total DFT energy (no corrections): -5.71 eV/atom
- Total magnetic moment: 3.8 μB per cell
- E above lowest polymorph: 0.0893 eV per atom
- Density of states at the Fermi level: 3.91 states/eV/cell

Lattice parameters (Å, degrees): 3.9183 3.9183 3.6418 90.00 90.00 90.00
Sites, in units of the cell vectors:
1 Li 0.0000 0.0000 0.0000
2 Fe 0.5000 0.5000 0.0000
3 H 0.5000 0.5000 0.5000
4 Rh 0.0000 0.5000 0.5000
5 Rh 0.5000 0.0000 0.5000

=====

# 2
Material: Zr5AlGa
Method: DFT, PBE
State: relaxed

- Total DFT energy (no corrections): -7.19 eV/atom
- DFT formation energy: -0.122 eV per atom
- Total magnetic moment: 0.0 μB per cell
- Density of states at the Fermi level: 13.01 states/eV/cell

Lattice parameters (Å, degrees): 5.5625 5.5625 9.9367 93.45 93.45 90.80
Sites, in units of the cell vectors:
1 Zr 0.0108 0.6164 0.1854
2 Zr 0.1446 0.8554 0.7500
3 Zr 0.2421 0.4670 0.4939
4 Zr 0.3836 0.9892 0.3146
5 Zr 0.4670 0.2421 0.9939
6 Zr 0.5330 0.7579 0.0061
7 Zr 0.6164 0.0108 0.6854
8 Zr 0.7579 0.5330 0.5061
9 Zr 0.8554 0.1446 0.2500
10 Zr 0.9892 0.3836 0.8146
11 Al 0.4993 0.5007 0.2500
12 Al 0.5007 0.4993 0.7500
13 Ga 0.0000 0.0000 0.0000
14 Ga 0.0000 0.0000 0.5000

=====

# 3
Material: FeTc2Ir
Method: DFT, PBE
State: relaxed

- Total DFT energy (no corrections): -9.00 eV/atom
- DFT formation energy: 0.511 eV per atom
- Total magnetic moment: 4.1 μB per cell
- E above lowest polymorph: 0.5603 eV per atom
- Density of states at the Fermi level: 9.32 states/eV/cell

Lattice parameters (Å, degrees): 9.2342 9.2342 9.2342 156.92 156.92 32.87
Sites, in units of the cell vectors:
1 Fe 0.0000 0.0000 0.0000
2 Fe 0.7500 0.2500 0.5000
3 Tc 0.0928 0.6250 0.9678
4 Tc 0.3750 0.3428 0.4678
5 Tc 0.6572 0.1250 0.0322
6 Tc 0.8750 0.9072 0.5322
7 Ir 0.2500 0.7500 0.5000
8 Ir 0.5000 0.5000 0.0000

=====

# 4
Material: TaMo2HIr
Method: DFT, PBE
State: relaxed

- Total DFT energy (no corrections): -9.26 eV/atom
- Total magnetic moment: 0.0 μB per cell
- E above lowest polymorph: 0.0000 eV per atom
- Density of states at the Fermi level: 4.89 states/eV/cell

Lattice parameters (Å, degrees): 3.9811 3.9811 4.1767 90.00 90.00 90.00
Sites, in units of the cell vectors:
1 Ta 0.0000 0.0000 0.0000
2 Mo 0.0000 0.5000 0.5000
3 Mo 0.5000 0.0000 0.5000
4 H 0.0000 0.0000 0.5000
5 Ir 0.5000 0.5000 0.0000

=====

# 5
Material: Cr2NiBr
Method: DFT, PBE
State: relaxed

- Total DFT energy (no corrections): -6.14 eV/atom
- Total magnetic moment: 0.3 μB per cell
- E above lowest polymorph: 0.1681 eV per atom
- Density of states at the Fermi level: 4.56 states/eV/cell

Lattice parameters (Å, degrees): 7.8121 7.8121 7.8121 22.31 22.31 22.31
Sites, in units of the cell vectors:
1 Cr 0.0000 0.0000 0.0000
2 Cr 0.2607 0.2607 0.2607
3 Ni 0.7439 0.7439 0.7439
4 Br 0.5053 0.5053 0.5053

=====

# 6
Material: Ce2DyScS4
Method: DFT, PBE
State: relaxed

- Total DFT energy (no corrections): -6.89 eV/atom
- Total magnetic moment: 1.5 μB per cell
- Density of states at the Fermi level: 11.00 states/eV/cell

Lattice parameters (Å, degrees): 6.7343 3.8817 6.8700 90.00 109.02 90.00
Sites, in units of the cell vectors:
1 Ce 0.0000 0.0000 0.0000
2 Ce 0.5000 0.5000 0.0000
3 Dy 0.0000 0.5000 0.5000
4 Sc 0.5000 0.0000 0.5000
5 S 0.2523 0.0000 0.7330
6 S 0.2651 0.5000 0.2720
7 S 0.7349 0.5000 0.7280
8 S 0.7477 0.0000 0.2670

=====

# 7
Material: BaAu3
Method: DFT, PBE
State: relaxed

- Total DFT energy (no corrections): -3.35 eV/atom
- DFT formation energy: -0.414 eV per atom
- Total magnetic moment: 0.0 μB per cell
- Density of states at the Fermi level: 0.22 states/eV/cell

Lattice parameters (Å, degrees): 4.0214 4.0214 6.6651 90.00 90.00 90.00
Sites, in units of the cell vectors:
1 Ba 0.0000 0.0000 0.0000
2 Au 0.0000 0.5000 0.5791
3 Au 0.5000 0.0000 0.5791
4 Au 0.5000 0.5000 0.2560

=====

# 8
Material: Nd2Dy3Mg3
Method: DFT, PBE
State: relaxed

- Total DFT energy (no corrections): -3.56 eV/atom
- DFT formation energy: -0.048 eV per atom
- Total magnetic moment: 0.0 μB per cell
- Density of states at the Fermi level: 9.78 states/eV/cell

Lattice parameters (Å, degrees): 11.7661 11.7661 11.7661 161.27 153.24 32.87
Sites, in units of the cell vectors:
1 Nd 0.2337 0.2337 0.0000
2 Nd 0.7663 0.7663 0.0000
3 Dy 0.0000 0.0000 0.0000
4 Dy 0.3782 0.8782 0.5000
5 Dy 0.6218 0.1218 0.5000
6 Mg 0.1139 0.6139 0.5000
7 Mg 0.5000 0.5000 0.0000
8 Mg 0.8861 0.3861 0.5000

=====

# 9
Material: Ba2TaP
Method: DFT, PBE
State: relaxed

- Total DFT energy (no corrections): -4.60 eV/atom
- DFT formation energy: 0.679 eV per atom
- Total magnetic moment: 3.7 μB per cell
- Density of states at the Fermi level: 2.05 states/eV/cell

Lattice parameters (Å, degrees): 5.8641 5.8641 5.8641 126.22 126.22 79.52
Sites, in units of the cell vectors:
1 Ba 0.2500 0.7500 0.5000
2 Ba 0.7500 0.2500 0.5000
3 Ta 0.0000 0.0000 0.0000
4 P 0.5000 0.5000 0.0000

=====

# 10
Material: ZrScPaGa
Method: DFT, PBE
State: relaxed

- Total DFT energy (no corrections): -6.87 eV/atom
- DFT formation energy: -0.022 eV per atom
- Total magnetic moment: 1.2 μB per cell
- Density of states at the Fermi level: 5.71 states/eV/cell

Lattice parameters (Å, degrees): 4.9524 4.9524 4.9524 60.00 60.00 60.00
Sites, in units of the cell vectors:
1 Zr 0.0000 0.0000 0.0000
2 Sc 0.5000 0.5000 0.5000
3 Pa 0.2500 0.2500 0.2500
4 Ga 0.7500 0.7500 0.7500

=====

# 11
Material: La2YEr2Tm
Method: DFT, PBE
State: relaxed

- Total DFT energy (no corrections): -4.92 eV/atom
- DFT formation energy: 0.071 eV per atom
- Total magnetic moment: 0.0 μB per cell
- Density of states at the Fermi level: 19.09 states/eV/cell

Lattice parameters (Å, degrees): 7.0722 5.6623 9.8583 90.00 90.00 90.00
Sites, in units of the cell vectors:
1 La 0.0000 0.0000 0.0000
2 La 0.2500 0.5000 0.1750
3 La 0.5000 0.0000 0.0000
4 La 0.7500 0.5000 0.8250
5 Y 0.0000 0.5000 0.5000
6 Y 0.5000 0.5000 0.5000
7 Er 0.2500 0.0000 0.3354
8 Er 0.2500 0.5000 0.8327
9 Er 0.7500 0.0000 0.6646
10 Er 0.7500 0.5000 0.1673
11 Tm 0.2500 0.0000 0.6595
12 Tm 0.7500 0.0000 0.3405

=====

# 12
Material: K2Ge2Cl
Method: DFT, PBE
State: relaxed

- Total DFT energy (no corrections): -3.36 eV/atom
- Total magnetic moment: 0.0 μB per cell
- Density of states at the Fermi level: 1.73 states/eV/cell

Lattice parameters (Å, degrees): 10.0419 10.0419 10.0419 158.09 158.09 31.17
Sites, in units of the cell vectors:
1 K 0.0955 0.0955 0.0000
2 K 0.9045 0.9045 0.0000
3 Ge 0.2500 0.7500 0.5000
4 Ge 0.7500 0.2500 0.5000
5 Cl 0.5000 0.5000 0.0000